Computed, not measured: Li4Ag2PdPt after structural relaxation at the PBE-GGA level of DFT.

Lattice parameters (Å, degrees): 6.2628 6.2628 5.8560 90.00 90.00 90.00
Closest atoms and distances in Å follow each position.
Space group I4/mmm (No. 139)
Unique sites:
Li: 0.2500 0.2500 0.2500 x8  2 Pd 2.65, 2 Pt 2.65, 4 Ag 2.65, 2 Li 2.93
Ag: 0.0000 0.5000 0.0000 x4  8 Li 2.65, 2 Ag 2.93
Pd: 0.0000 0.0000 0.0000 x2  8 Li 2.65, 2 Pt 2.93
Pt: 0.0000 0.0000 0.5000 x2  8 Li 2.65, 2 Pd 2.93

## Properties
For the formation energy from the elements, the calculation gives -345 meV/atom. The magnetization is 0.00 μB/atom.



Computed, not measured: Pm2Pr2Sc3 after structural relaxation at the PBE-GGA level of DFT.

Lattice parameters (Å, degrees): 6.1762 11.2115 6.2591 90.00 94.36 90.00
Closest atoms and distances in Å follow each position.
Space group P2_1/c (No. 14)
Unique sites:
Pm: 0.0892 0.2208 0.2784 x4  3 Sc 3.05-3.38, 2 Pm 3.20, 1 Pr 3.28
Pr: 0.4530 0.6536 0.5406 x4  3 Sc 3.28-3.66, 2 Pm 3.28-3.66, 1 Pr 3.54
Sc: 0.0000 0.0000 0.0000 x2  2 Pm 3.05, 2 Pr 3.28, 2 Sc 3.37
Sc: 0.2553 0.5287 0.0462 x4  3 Sc 3.19-3.37, 2 Pm 3.28-3.38, 1 Pr 3.53

## Properties
For the formation energy from the elements, the calculation gives 198 meV/atom. The magnetization is 0.00 μB/atom.



Computed, not measured: Bi2TePd6 after structural relaxation at the PBE-GGA level of DFT.

Lattice parameters (Å, degrees): 3.3577 7.7964 13.6612 90.00 90.00 90.00
Closest atoms and distances in Å follow each position.
Space group Immm (No. 71)
Unique sites:
Bi: 0.0000 0.0000 0.1653 x4  8 Pd 2.78-2.89
Te: 0.0000 0.0000 0.5000 x2  8 Pd 2.75-2.79
Pd: 0.0000 0.1990 0.3341 x8  1 Te 2.75, 3 Bi 2.78-2.89, 4 Pd 2.90-2.95
Pd: 0.0000 0.2139 0.0000 x4  2 Te 2.79, 2 Bi 2.81, 4 Pd 2.90

## Properties
The value obtained for the formation energy without anion corrections is -0.2062 eV/atom. The magnetization is 0.00 μB/atom.



Computed, not measured: Ta3NbAg after structural relaxation at the PBE-GGA level of DFT.

Lattice parameters (Å, degrees): 4.8832 4.8832 4.8832 90.00 90.00 90.00
Closest atoms and distances in Å follow each position.
Space group Pm-3m (No. 221)
Unique sites:
Ta: 0.0000 0.0000 0.5000 x3  2 Nb 2.44
Nb: 0.0000 0.0000 0.0000 x1  6 Ta 2.44
Ag: 0.5000 0.5000 0.5000 x1  12 Ta 3.45

## Properties
For the formation energy from the elements, the calculation gives 1692 meV/atom. The magnetization is 0.00 μB/atom.



Computed, not measured: Dy2BeNi6Ge after structural relaxation at the PBE-GGA level of DFT.

Lattice parameters (Å, degrees): 8.4688 8.4688 8.4688 90.00 90.00 90.00
Closest atoms and distances in Å follow each position.
Space group Fm-3m (No. 225)
Unique sites:
Dy: 0.2500 0.2500 0.2500 x8  12 Ni 3.00
Be: 0.0000 0.0000 0.0000 x4  6 Ni 1.98
Ni: 0.0000 0.0000 0.2343 x24  1 Be 1.98
Ge: 0.0000 0.0000 0.5000 x4  6 Ni 2.25

## Properties
For the formation energy from the elements, the calculation gives -196 meV/atom. The magnetization is 0.00 μB/atom.